(1)
VASP calculation (PBE) on a relaxed structure of LaTh.

Output
For the energy relative to the elements, the calculation gives 1.621 eV/atom. As for the symmetry: F-43m (216). The distance to the lowest polymorph of the same formula is 1.5495 eV per atom. Its magnetic moment is 0.1 Bohr magnetons per cell. For the electronic total energy, the calculation gives -4.547 eV per atom.

a b c (Å): 4.793 4.793 4.793
angles (deg): 60.00 60.00 60.00
Fractional coordinates of all 2 atoms:
La 0.000 0.000 0.000
Th 0.750 0.750 0.750



(2)
VASP calculation (PBE) on a relaxed structure of BeNbZnNi.

Output
As for the symmetry: F-43m (216). The distance to the lowest polymorph of the same formula is 0.1627 eV per atom. Its magnetic moment is 0.5 Bohr magnetons per cell. For the electronic total energy, the calculation gives -5.116 eV per atom.

a b c (Å): 4.178 4.178 4.178
angles (deg): 60.00 60.00 60.00
Fractional coordinates of all 4 atoms:
Be 0.000 0.000 0.000
Nb 0.250 0.250 0.250
Zn 0.500 0.500 0.500
Ni 0.750 0.750 0.750



(3)
VASP calculation (PBE) on a relaxed structure of NbInNiIr.

Output
As for the symmetry: F-43m (216). Its magnetic moment is 0.0 Bohr magnetons per cell. For the electronic total energy, the calculation gives -6.806 eV per atom.

a b c (Å): 4.492 4.492 4.492
angles (deg): 60.00 60.00 60.00
Fractional coordinates of all 4 atoms:
Nb 0.000 0.000 0.000
In 0.250 0.250 0.250
Ni 0.500 0.500 0.500
Ir 0.750 0.750 0.750



(4)
VASP calculation (PBE) on a relaxed structure of PrBiPd.

Output
As for the symmetry: P-62m (189). Its magnetic moment is 0.0 Bohr magnetons per cell. For the electronic total energy, the calculation gives -5.471 eV per atom.

a b c (Å): 7.820 7.820 4.348
angles (deg): 90.00 90.00 120.00
Fractional coordinates of all 9 atoms:
Pr 0.000 0.607 0.000
Pr 0.393 0.393 0.000
Pr 0.607 0.000 0.000
Bi 0.000 0.270 0.500
Bi 0.270 0.000 0.500
Bi 0.730 0.730 0.500
Pd 0.000 0.000 0.000
Pd 0.333 0.667 0.500
Pd 0.667 0.333 0.500



(5)
VASP calculation (PBE) on a relaxed structure of RbDyZnS3.

Output
As for the symmetry: P2_1/m (11). Its magnetic moment is 0.0 Bohr magnetons per cell. For the electronic total energy, the calculation gives -4.692 eV per atom.

a b c (Å): 8.966 4.007 9.662
angles (deg): 90.00 109.24 90.00
Fractional coordinates of all 12 atoms:
Rb 0.215 0.250 0.241
Rb 0.785 0.750 0.759
Dy 0.330 0.750 0.861
Dy 0.670 0.250 0.139
Zn 0.083 0.250 0.610
Zn 0.917 0.750 0.390
S 0.116 0.250 0.856
S 0.194 0.750 0.542
S 0.468 0.750 0.154
S 0.532 0.250 0.846
S 0.806 0.250 0.458
S 0.884 0.750 0.144



(6)
VASP calculation (PBE) on a relaxed structure of Lu2Nb4P3N3.

Output
As for the symmetry: C2/c (15). Its magnetic moment is 0.0 Bohr magnetons per cell. For the electronic total energy, the calculation gives -8.644 eV per atom.

a b c (Å): 5.798 5.798 12.243
angles (deg): 103.44 103.44 60.41
Fractional coordinates of all 24 atoms:
Lu 0.035 0.870 0.607
Lu 0.130 0.965 0.893
Lu 0.870 0.035 0.107
Lu 0.965 0.130 0.393
Nb 0.198 0.371 0.095
Nb 0.309 0.461 0.406
Nb 0.371 0.198 0.595
Nb 0.461 0.309 0.906
Nb 0.539 0.691 0.094
Nb 0.629 0.802 0.405
Nb 0.691 0.539 0.594
Nb 0.802 0.629 0.905
P 0.081 0.277 0.750
P 0.277 0.081 0.250
P 0.440 0.560 0.750
P 0.560 0.440 0.250
P 0.723 0.919 0.750
P 0.919 0.723 0.250
N 0.000 0.500 0.500
N 0.161 0.679 0.000
N 0.321 0.839 0.500
N 0.500 0.000 0.000
N 0.679 0.161 0.500
N 0.839 0.321 0.000



(7)
VASP calculation (PBE) on a relaxed structure of NaTmPO.

Output
As for the symmetry: P4/nmm (129). The distance to the lowest polymorph of the same formula is 0.4343 eV per atom. Its magnetic moment is 1.7 Bohr magnetons per cell. For the electronic total energy, the calculation gives -5.254 eV per atom.

a b c (Å): 5.484 5.484 4.846
angles (deg): 90.00 90.00 90.00
Fractional coordinates of all 8 atoms:
Na 0.250 0.250 0.001
Na 0.750 0.750 0.999
Tm 0.250 0.750 0.500
Tm 0.750 0.250 0.500
P 0.250 0.250 0.501
P 0.750 0.750 0.499
O 0.250 0.750 0.000
O 0.750 0.250 0.000



(8)
VASP calculation (PBE) on a relaxed structure of Li4In2NiIr.

Output
As for the symmetry: P-4m2 (115). Its magnetic moment is 0.0 Bohr magnetons per cell. For the electronic total energy, the calculation gives -3.688 eV per atom.

a b c (Å): 4.389 4.389 6.242
angles (deg): 90.00 90.00 90.00
Fractional coordinates of all 8 atoms:
Li 0.000 0.000 0.000
Li 0.000 0.500 0.746
Li 0.500 0.000 0.254
Li 0.500 0.500 0.500
In 0.000 0.500 0.256
In 0.500 0.000 0.744
Ni 0.000 0.000 0.500
Ir 0.500 0.500 0.000